# 1
A geometry-optimized PmNdYAg structure. Source: the Alexandria database, functional PBE.

The structure in POSCAR format:
```
PmNdYAg
1.0
5.486 0.000 0.000
2.743 4.751 0.000
2.743 1.584 4.479
Y Nd Ag Pm
1 1 1 1
Direct
0.750 0.750 0.750
0.250 0.250 0.250
0.000 0.000 0.000
0.500 0.500 0.500
```

## Properties
Energy relative to the elements, eV/f.u.: 0.39
Density, Mg/m³: 6.9
Magnetic moment, μB/cell: 0.002



# 2
A geometry-optimized Y2SbIr structure. Source: the Alexandria database, functional PBE.

The structure in POSCAR format:
```
Y2SbIr
1.0
-2.271 5.362 1.183
-2.751 2.321 4.728
1.428 4.281 3.866
Sb Ir Y
1 1 2
Direct
0.811 0.811 0.811
0.425 0.425 0.425
0.237 0.237 0.237
0.028 0.028 0.028
```

## Properties
Density, Mg/m³: 8.1
Magnetic moment, μB/cell: 0.000
E_form (uncorrected), eV/atom: -0.644



# 3
A geometry-optimized Mg2In2Sn structure. Source: the Alexandria database, functional PBE.

The structure in POSCAR format:
```
Mg2In2Sn
1.0
8.659 0.000 0.000
0.000 8.659 0.000
0.000 0.000 3.312
Sn Mg In
2 4 4
Direct
0.000 0.000 0.000
0.500 0.500 0.000
0.831 0.331 0.500
0.331 0.169 0.500
0.669 0.831 0.500
0.169 0.669 0.500
0.870 0.630 0.000
0.130 0.370 0.000
0.630 0.130 0.000
0.370 0.870 0.000
```

## Properties
Energy relative to the elements, eV/f.u.: -0.09
Density, Mg/m³: 5.3
Magnetic moment, μB/cell: 0.000



# 4
A geometry-optimized Tl2InGa7 structure. Source: the Alexandria database, functional PBE.

The structure in POSCAR format:
```
Tl2InGa7
1.0
-4.172 1.438 -0.394
-1.453 -4.184 0.126
-0.873 0.653 11.636
Ga Tl In
7 2 1
Direct
0.500 0.000 0.369
0.500 0.500 0.500
0.000 0.000 0.000
0.000 0.000 0.500
0.000 0.500 0.631
0.000 0.500 0.852
0.500 0.000 0.148
0.500 0.000 0.742
0.000 0.500 0.258
0.500 0.500 0.000
```

## Properties
Energy relative to the elements, eV/f.u.: 0.20
Density, Mg/m³: 7.3
Magnetic moment, μB/cell: 0.000